First-principles (GGA-PBE) data for a relaxed structure of Hg3C2, as listed in Alexandria via LeMat-Bulk.

The structure in extended XYZ format:
```
5
Lattice="3.778 0.000 0.000 -1.889 3.272 0.000 0.000 0.000 9.525" Properties=species:S:1:pos:R:3 pbc="T T T"
Hg 0.000 0.000 0.000
Hg 0.000 2.181 3.406
Hg 1.889 1.091 6.120
C 0.000 2.181 6.115
C 1.889 1.091 3.411
```

* ΔE_f: 1.88 eV/atom
* magnetic moment: 0.000 μB per formula unit
* total DFT energy (no corrections): -1.99 eV/atom